# Zn2AgAs (GGA-PBE, optimized geometry)
# Raw total energy, eV/atom: -2.29
# M_tot, μB/cell: 0.00
# Energy relative to the elements, eV per atom: 0.22
data_Zn2AgAs
_symmetry_space_group_name_H-M 'I -4 2 d'
_symmetry_Int_Tables_number 122
_symmetry_space_group_name_Hall 'I -4 2bw'
_cell_length_a 5.6653
_cell_length_b 5.6653
_cell_length_c 12.3839
_cell_angle_alpha 90.00
_cell_angle_beta 90.00
_cell_angle_gamma 90.00
loop_
_atom_site_label
_atom_site_type_symbol
_atom_site_fract_x
_atom_site_fract_y
_atom_site_fract_z
Zn1 Zn 0.2121 0.2500 0.1250
Ag1 Ag 0.0000 0.0000 0.5000
As1 As 0.0000 0.0000 0.0000